This record from Alexandria via LeMat-Bulk describes crystalline BC7 at its relaxed geometry. The functional is PBE-GGA.

Cell: 3.623 3.623 3.623 Å, 90.00 90.00 90.00°
Space group P-43m (No. 215)
One atom of each set of equivalent atoms:
B 0.000 0.000 0.000 (multiplicity 1)
C 0.000 0.500 0.500 (multiplicity 3)
C 0.255 0.255 0.255 (multiplicity 4)

Properties
Energy of formation, meV/atom: 270